Material: DyHf2Sc
Method: DFT, GGA-PBE
State: relaxed

a b c (Å): 3.713 3.713 7.153
angles (deg): 90.00 90.00 90.00
Space group P4/mmm (No. 123)
Symmetry-distinct sites (fractional):
Dy 0.000 0.000 0.000 [1 per cell]
Hf 0.500 0.500 0.286 [2 per cell]
Sc 0.000 0.000 0.500 [1 per cell]

distance to the lowest polymorph of the same formula = 0.124 eV per atom
density = 9.50 g/cm³
size of the total moment = 0.0 μB/f.u.
DFT total energy = -7.46 eV/atom
ΔH_f (0 K) = 0.249 eV per atom
density of states at the Fermi level = 7.40 states/eV per cell

Material: DyHf6Sc12
Method: DFT, GGA-PBE
State: relaxed

a b c (Å): 12.0306 12.0306 11.2410
angles (deg): 90.00 90.00 120.00
Space group R-3m (No. 166, hexagonal axes)
Symmetry-distinct sites (fractional):
Dy 0.0000 0.0000 0.0000 [3 per cell]
Hf 0.0363 0.5182 0.6188 [18 per cell]
Sc 0.0000 0.2632 0.5000 [18 per cell]
Sc 0.0903 0.1807 0.2587 [18 per cell]

density = 6.27 g/cm³
size of the total moment = 0.0 μB/f.u.
DFT total energy = -7.15 eV/atom
ΔH_f (0 K) = 0.236 eV per atom
density of states at the Fermi level = 89.72 states/eV per cell

Material: DyHf2Sc
Method: DFT, GGA-PBE
State: relaxed

a b c (Å): 3.2394 3.2394 32.1768
angles (deg): 90.00 90.00 120.00
Space group R-3m (No. 166, hexagonal axes)
Symmetry-distinct sites (fractional):
Dy 0.0000 0.0000 0.0000 [3 per cell]
Hf 0.0000 0.0000 0.2477 [6 per cell]
Sc 0.0000 0.0000 0.5000 [3 per cell]

distance to the lowest polymorph of the same formula = 0.016 eV per atom
density = 9.62 g/cm³
size of the total moment = 0.0 μB/f.u.
DFT total energy = -7.57 eV/atom
ΔH_f (0 K) = 0.140 eV per atom
density of states at the Fermi level = 16.17 states/eV per cell

Material: Dy14HfSc
Method: DFT, GGA-PBE
State: relaxed

a b c (Å): 6.996 6.996 9.865
angles (deg): 90.00 90.00 90.00
Space group P4/mmm (No. 123)
Symmetry-distinct sites (fractional):
Dy 0.000 0.000 0.000 [1 per cell]
Dy 0.000 0.500 0.000 [2 per cell]
Dy 0.000 0.500 0.500 [2 per cell]
Dy 0.246 0.246 0.258 [8 per cell]
Dy 0.500 0.500 0.000 [1 per cell]
Hf 0.000 0.000 0.500 [1 per cell]
Sc 0.500 0.500 0.500 [1 per cell]

density = 8.59 g/cm³
size of the total moment = 0.0 μB/f.u.
DFT total energy = -4.99 eV/atom
ΔH_f (0 K) = 0.051 eV per atom
density of states at the Fermi level = 20.15 states/eV per cell

Material: DyHf2Sc
Method: DFT, GGA-PBE
State: relaxed

a b c (Å): 4.580 4.580 4.645
angles (deg): 90.00 90.00 90.00
Space group P4/mmm (No. 123)
Symmetry-distinct sites (fractional):
Dy 0.000 0.000 0.000 [1 per cell]
Hf 0.000 0.500 0.500 [2 per cell]
Sc 0.500 0.500 0.000 [1 per cell]

distance to the lowest polymorph of the same formula = 0.015 eV per atom
density = 9.62 g/cm³
size of the total moment = 0.0 μB/f.u.
DFT total energy = -7.57 eV/atom
ΔH_f (0 K) = 0.139 eV per atom
density of states at the Fermi level = 4.54 states/eV per cell

Material: DyHf2Sc6
Method: DFT, GGA-PBE
State: relaxed

a b c (Å): 3.2910 3.2910 23.8144
angles (deg): 90.00 90.00 120.00
Space group P-6m2 (No. 187)
Symmetry-distinct sites (fractional):
Dy 0.0000 0.0000 0.0000 [1 per cell]
Hf 0.3333 0.6667 0.3325 [2 per cell]
Sc 0.0000 0.0000 0.2272 [2 per cell]
Sc 0.0000 0.0000 0.4358 [2 per cell]
Sc 0.3333 0.6667 0.1173 [2 per cell]

density = 5.87 g/cm³
size of the total moment = 1.7 μB/f.u.
DFT total energy = -6.89 eV/atom
ΔH_f (0 K) = 0.053 eV per atom
density of states at the Fermi level = 14.92 states/eV per cell

Material: Dy2HfSc4
Method: DFT, GGA-PBE
State: relaxed

a b c (Å): 5.059 5.059 16.305
angles (deg): 90.00 90.00 90.00
Space group I4/mmm (No. 139)
Symmetry-distinct sites (fractional):
Dy 0.000 0.000 0.128 [4 per cell]
Hf 0.000 0.000 0.500 [2 per cell]
Sc 0.000 0.000 0.327 [4 per cell]
Sc 0.000 0.500 0.000 [4 per cell]

distance to the lowest polymorph of the same formula = 0.577 eV per atom
density = 5.44 g/cm³
size of the total moment = 0.0 μB/f.u.
DFT total energy = -5.74 eV/atom
ΔH_f (0 K) = 0.618 eV per atom
density of states at the Fermi level = 21.18 states/eV per cell

Material: DyHfSc2
Method: DFT, GGA-PBE
State: relaxed

a b c (Å): 7.378 7.378 7.378
angles (deg): 90.00 90.00 90.00
Space group Fm-3m (No. 225)
Symmetry-distinct sites (fractional):
Dy 0.000 0.000 0.000 [4 per cell]
Hf 0.000 0.000 0.500 [4 per cell]
Sc 0.250 0.250 0.250 [8 per cell]

distance to the lowest polymorph of the same formula = 0.129 eV per atom
density = 7.13 g/cm³
size of the total moment = 0.0 μB/f.u.
DFT total energy = -6.61 eV/atom
ΔH_f (0 K) = 0.194 eV per atom
density of states at the Fermi level = 32.19 states/eV per cell

Material: DyHfSc2
Method: DFT, GGA-PBE
State: relaxed

a b c (Å): 3.2914 3.2914 32.2558
angles (deg): 90.00 90.00 120.00
Space group R-3m (No. 166, hexagonal axes)
Symmetry-distinct sites (fractional):
Dy 0.0000 0.0000 0.0000 [3 per cell]
Hf 0.0000 0.0000 0.5000 [3 per cell]
Sc 0.0000 0.0000 0.2446 [6 per cell]

distance to the lowest polymorph of the same formula = 0.010 eV per atom
density = 7.09 g/cm³
size of the total moment = 0.0 μB/f.u.
DFT total energy = -6.73 eV/atom
ΔH_f (0 K) = 0.075 eV per atom
density of states at the Fermi level = 17.40 states/eV per cell

Material: DyHfSc2
Method: DFT, GGA-PBE
State: relaxed

a b c (Å): 3.3090 3.3090 31.9691
angles (deg): 90.00 90.00 120.00
Space group R3m (No. 160, hexagonal axes)
Symmetry-distinct sites (fractional):
Dy 0.0000 0.0000 0.0000 [3 per cell]
Hf 0.0000 0.0000 0.1654 [3 per cell]
Sc 0.0000 0.0000 0.5772 [3 per cell]
Sc 0.0000 0.0000 0.7544 [3 per cell]

distance to the lowest polymorph of the same formula = 0.002 eV per atom
density = 7.08 g/cm³
size of the total moment = 0.0 μB/f.u.
DFT total energy = -6.74 eV/atom
ΔH_f (0 K) = 0.068 eV per atom
density of states at the Fermi level = 20.38 states/eV per cell

Material: DyHfSc4
Method: DFT, GGA-PBE
State: relaxed

a b c (Å): 8.272 13.248 5.975
angles (deg): 90.00 109.70 90.00
Space group C2/c (No. 15)
Symmetry-distinct sites (fractional):
Dy 0.000 0.087 0.250 [4 per cell]
Hf 0.000 0.497 0.750 [4 per cell]
Sc 0.094 0.311 0.535 [8 per cell]
Sc 0.214 0.128 0.875 [8 per cell]

distance to the lowest polymorph of the same formula = 0.116 eV per atom
density = 5.61 g/cm³
size of the total moment = 0.0 μB/f.u.
DFT total energy = -6.52 eV/atom
ΔH_f (0 K) = 0.131 eV per atom
density of states at the Fermi level = 43.33 states/eV per cell

Material: DyHfSc3
Method: DFT, GGA-PBE
State: relaxed

a b c (Å): 5.815 6.204 7.725
angles (deg): 102.37 111.74 90.03
Space group P-1 (No. 2)
Symmetry-distinct sites (fractional):
Dy 0.094 0.248 0.002 [2 per cell]
Hf 0.479 0.053 0.803 [2 per cell]
Sc 0.120 0.150 0.409 [2 per cell]
Sc 0.294 0.666 0.409 [2 per cell]
Sc 0.320 0.560 0.798 [2 per cell]

distance to the lowest polymorph of the same formula = 0.000 eV per atom
density = 6.27 g/cm³
size of the total moment = 0.0 μB/f.u.
DFT total energy = -6.67 eV/atom
ΔH_f (0 K) = 0.042 eV per atom
density of states at the Fermi level = 16.91 states/eV per cell